KSi3: optimized geometry, GGA-PBE.

a b c (Å): 5.744 5.744 2.677
angles (deg): 90.00 90.00 118.63
Sites, in units of the cell vectors:
Si1 0.000 0.500 0.500
Si2 0.500 0.000 0.500
K1 0.000 0.000 0.000
Si3 0.500 0.500 0.000

Calculated values
- DFT total energy: -0.133 hartree per atom
- E_form (uncorrected): 0.72 eV/atom
- Crystal system: orthorhombic
- DOS at the Fermi energy: 0.428 states/eV per atom
- SG: Cmmm (65)


KSiSn: optimized geometry, GGA-PBE.

a b c (Å): 5.876 4.329 4.329
angles (deg): 120.00 90.00 90.00
Sites, in units of the cell vectors:
K1 0.650 0.667 0.333
Si1 0.249 0.333 0.667
Sn1 0.101 0.000 0.000

Calculated values
- DFT total energy: -0.129 hartree per atom
- E_form (uncorrected): 0.01 eV/atom
- Crystal system: trigonal
- DOS at the Fermi energy: 0.347 states/eV per atom
- SG: P3m1 (156)


K2SiSn2: optimized geometry, GGA-PBE.

a b c (Å): 7.361 7.361 5.894
angles (deg): 90.00 90.00 90.00
Sites, in units of the cell vectors:
K1 0.676 0.824 0.500
Sn1 0.358 0.858 0.000
Sn2 0.858 0.642 0.000
Sn3 0.642 0.142 0.000
K2 0.824 0.324 0.500
K3 0.324 0.176 0.500
Si1 0.500 0.500 0.000
Si2 0.000 0.000 0.000
K4 0.176 0.676 0.500
Sn4 0.142 0.358 0.000

Calculated values
- DFT total energy: -0.114 hartree per atom
- E_form (uncorrected): 0.02 eV/atom
- Crystal system: tetragonal
- DOS at the Fermi energy: 0.125 states/eV per atom
- SG: P4/mbm (127)